## NpPaNi10 (PBE)

Data for crystalline NpPaNi10 at its relaxed geometry.

Values from the calculation:
The total energy comes out at -6.944 eV/atom. The energy of formation from the pure elements is -0.2561 eV/atom.

Structure (extended XYZ):
```
12
Lattice="3.974 0.000 0.000 0.000 4.842 0.000 0.000 0.000 8.394" Properties=species:S:1:pos:R:3 pbc="T T T"
Ni 0.000 0.000 2.792
Ni 0.000 2.421 7.006
Ni 1.987 2.421 0.000
Ni 1.987 3.635 6.305
Ni 0.000 2.421 1.388
Ni 1.987 3.635 2.089
Ni 1.987 1.207 6.305
Ni 1.987 0.000 4.197
Ni 0.000 0.000 5.602
Ni 1.987 1.207 2.089
Np 0.000 2.421 4.197
Pa 0.000 0.000 0.000
```